Cr2RhW | PBE | optimized geometry

Calculated values
The total energy is -39.00 eV per formula unit. As for the size of the total moment: 0.000 μB/f.u.

The structure in CIF format:
```
data_Cr2RhW
_symmetry_space_group_name_H-M 'C m m 2'
_symmetry_Int_Tables_number 35
_cell_length_a 3.0933
_cell_length_b 4.2973
_cell_length_c 8.1929
_cell_angle_alpha 90.00
_cell_angle_beta 90.00
_cell_angle_gamma 90.00
loop_
_symmetry_equiv_pos_as_xyz
'x,y,z'
'-x,-y,z'
'-x,y,z'
'x,-y,z'
'x+1/2,y+1/2,z'
'-x+1/2,-y+1/2,z'
'-x+1/2,y+1/2,z'
'x+1/2,-y+1/2,z'
loop_
_atom_site_label
_atom_site_type_symbol
_atom_site_fract_x
_atom_site_fract_y
_atom_site_fract_z
Cr1 Cr 0.0000 0.0000 0.0000
Cr2 Cr 0.0000 0.5000 0.2243
Rh1 Rh 0.0000 0.0000 0.4716
W1 W 0.0000 0.5000 0.7416
```



K2Ag2Pd | PBE | optimized geometry

Calculated values
The total energy is -13.10 eV per formula unit. As for the size of the total moment: 0.000 μB/f.u.

The structure in CIF format:
```
data_K2Ag2Pd
_symmetry_space_group_name_H-M 'I m m m'
_symmetry_Int_Tables_number 71
_symmetry_space_group_name_Hall '-I 2 2'
_cell_length_a 4.7847
_cell_length_b 5.6438
_cell_length_c 10.4431
_cell_angle_alpha 90.00
_cell_angle_beta 90.00
_cell_angle_gamma 90.00
loop_
_atom_site_label
_atom_site_type_symbol
_atom_site_fract_x
_atom_site_fract_y
_atom_site_fract_z
K1 K 0.0000 0.0000 0.1975
Ag1 Ag 0.0000 0.2512 0.5000
Pd1 Pd 0.0000 0.5000 0.0000
```



ZrCd2Co | PBE | optimized geometry

Calculated values
The total energy is -16.70 eV per formula unit. As for the size of the total moment: 0.799 μB/f.u.

The structure in CIF format:
```
data_ZrCd2Co
_symmetry_space_group_name_H-M 'F m -3 m'
_symmetry_Int_Tables_number 225
_symmetry_space_group_name_Hall '-F 4 2 3'
_cell_length_a 6.6532
_cell_length_b 6.6532
_cell_length_c 6.6532
_cell_angle_alpha 90.00
_cell_angle_beta 90.00
_cell_angle_gamma 90.00
loop_
_atom_site_label
_atom_site_type_symbol
_atom_site_fract_x
_atom_site_fract_y
_atom_site_fract_z
Zr1 Zr 0.0000 0.0000 0.0000
Cd1 Cd 0.2500 0.2500 0.2500
Co1 Co 0.0000 0.0000 0.5000
```



Copy entry 2 word for word.
K2Ag2Pd | PBE | optimized geometry

Calculated values
The total energy is -13.10 eV per formula unit. As for the size of the total moment: 0.000 μB/f.u.

The structure in CIF format:
```
data_K2Ag2Pd
_symmetry_space_group_name_H-M 'I m m m'
_symmetry_Int_Tables_number 71
_symmetry_space_group_name_Hall '-I 2 2'
_cell_length_a 4.7847
_cell_length_b 5.6438
_cell_length_c 10.4431
_cell_angle_alpha 90.00
_cell_angle_beta 90.00
_cell_angle_gamma 90.00
loop_
_atom_site_label
_atom_site_type_symbol
_atom_site_fract_x
_atom_site_fract_y
_atom_site_fract_z
K1 K 0.0000 0.0000 0.1975
Ag1 Ag 0.0000 0.2512 0.5000
Pd1 Pd 0.0000 0.5000 0.0000
```



- Which value of size of the total moment does entry 3 give?
  0.799 μB/f.u.